Zn2FeIr: relaxed, PBE.

The structure in CIF format:
```
data_Zn2FeIr
_chemical_formula_sum 'Zn8 Fe4 Ir4'
_space_group_name_H-M_alt 'F -4 3 m'
_space_group_IT_number 216
_space_group_name_Hall 'F -4 2 3'
_cell_length_a 6.011
_cell_length_b 6.011
_cell_length_c 6.011
_cell_angle_alpha 90.00
_cell_angle_beta 90.00
_cell_angle_gamma 90.00
loop_
_atom_site_label
_atom_site_type_symbol
_atom_site_fract_x
_atom_site_fract_y
_atom_site_fract_z
Zn1 Zn 0.000 0.000 0.000
Zn2 Zn 0.250 0.250 0.250
Fe1 Fe 0.000 0.000 0.500
Ir1 Ir 0.250 0.250 0.750
```


# PBE Cu7Ag3, relaxed
# Energy relative to the lowest polymorph listed for this composition = 42 meV/atom
data_Cu7Ag3
_chemical_formula_sum 'Cu14 Ag6'
_space_group_name_H-M_alt 'C m m m'
_space_group_IT_number 65
_space_group_name_Hall '-C 2 2'
_cell_length_a 3.816
_cell_length_b 18.984
_cell_length_c 3.796
_cell_angle_alpha 90.00
_cell_angle_beta 90.00
_cell_angle_gamma 90.00
loop_
_atom_site_label
_atom_site_type_symbol
_atom_site_fract_x
_atom_site_fract_y
_atom_site_fract_z
Cu1 Cu 0.000 0.000 0.000
Cu2 Cu 0.000 0.098 0.500
Cu3 Cu 0.000 0.195 0.000
Cu4 Cu 0.000 0.402 0.000
Ag1 Ag 0.000 0.303 0.500
Ag2 Ag 0.000 0.500 0.500


no.,energy of formation (eV per formula unit)
1,-0.34
2,0.87